Entry 1:
This record from the Alexandria database describes an optimized crystal structure of Pr6CdRu2. The functional is PBE-GGA.

The formation energy is -152 meV/atom. As for the crystal system: monoclinic. The space group is C2/m, No. 12. Its total magnetic moment is 0.000 μB per formula unit.

POSCAR file:
```
Pr6CdRu2
1.0
5.195 -2.677 0.000
5.195 2.677 0.000
-1.804 0.000 9.194
Pr Cd Ru
6 1 2
Cartesian
-0.213 0.000 3.188 Pr
1.836 0.000 6.099 Pr
3.330 0.000 1.067 Pr
5.255 0.000 8.126 Pr
6.750 0.000 3.094 Pr
8.799 0.000 6.005 Pr
0.000 0.000 0.000 Cd
3.301 0.000 3.703 Ru
5.285 0.000 5.491 Ru
```

=====

Entry 2:
This record from the Alexandria database describes an optimized crystal structure of Pr4CdRu2. The functional is PBE-GGA.

The formation energy is -166 meV/atom. As for the crystal system: triclinic. The space group is P1, No. 1. Its total magnetic moment is 0.000 μB per formula unit.

POSCAR file:
```
Pr4CdRu2
1.0
7.477 0.000 0.000
2.284 7.146 0.000
0.589 2.246 7.270
Pr Cd Ru
8 2 4
Cartesian
0.000 0.000 0.000 Pr
1.167 3.387 0.505 Pr
1.789 3.048 4.150 Pr
3.818 6.323 4.883 Pr
6.563 8.072 6.741 Pr
5.036 2.386 0.602 Pr
5.672 3.215 4.304 Pr
7.711 6.487 3.196 Pr
3.658 4.984 1.975 Cd
2.593 0.660 2.002 Cd
3.361 3.617 6.414 Ru
7.525 5.087 5.662 Ru
9.021 7.768 5.347 Ru
7.393 1.349 2.637 Ru
```

=====

Entry 3:
This record from the Alexandria database describes an optimized crystal structure of Pr4Cd2Ru. The functional is PBE-GGA.

The formation energy is -52 meV/atom. As for the crystal system: tetragonal. The space group is I4/mmm, No. 139. Its total magnetic moment is 0.000 μB per formula unit.

POSCAR file:
```
Pr4Cd2Ru
1.0
-2.708 2.708 7.964
2.708 -2.708 7.964
2.708 2.708 -7.964
Pr Cd Ru
4 2 1
Cartesian
2.708 0.000 0.000 Pr
0.000 0.000 2.853 Pr
0.000 2.708 0.000 Pr
0.000 0.000 13.075 Pr
0.000 0.000 6.000 Cd
0.000 0.000 9.928 Cd
0.000 0.000 0.000 Ru
```